A plane-wave DFT calculation with PBE was carried out for MgCd2Fe after structural relaxation.

The space group is Immm (No. 71) and the conventional cell measures 3.141, 4.792 and 10.045 Å, with angles of 90.00, 90.00 and 90.00 degrees. The inequivalent atoms are Mg at (0.000, 0.000, 0.000), Cd at (0.000, 0.500, 0.221) and Fe at (0.000, 0.000, 0.500).

The calculation puts the total energy at -2.76 eV/atom. As for the size of the total moment: 2.324 μB per formula unit. Its formation energy is 0.22 eV/atom.